Density functional theory data (GGA-PBE) for a relaxed structure of V2RePb.

a = 7.3324 Å, b = 7.3324 Å, c = 5.8730 Å
α = 51.37°, β = 51.37°, γ = 90.00°
With the nearest neighbours (Å) after each atom.
Sites, in units of the cell vectors:
Re: 0.5000 0.5000 0.0000  4 V 2.41
V: 0.5673 0.1250 0.2500  2 Re 2.41
Pb: 0.0000 0.0000 0.0000  2 Re 2.76, 4 V 2.99
Pb: 0.7500 0.2500 0.5000  2 Re 2.76, 4 V 2.99
Re: 0.2500 0.7500 0.5000  4 V 2.41
V: 0.1827 0.6250 0.2500  2 Re 2.41
V: 0.3750 0.4327 0.7500  2 Re 2.41
V: 0.8750 0.8173 0.7500  2 Re 2.41

The space group is No. 122. The calculated density is 11090 kg/m³. Its formation energy is 788 meV per atom. Its energy is -62.48 eV per cell. Its calculated volume is 74 Å³/f.u. Its density of states at the Fermi level is 4.4 states/eV/f.u.